Density functional theory data (PBE) for crystalline PmPr2SmDy at its relaxed geometry.

Total DFT energy (no corrections) in eV per cell: -44.74
E_form in meV per atom: 252
Mass density in g/cm³: 6.96
V in Å³ per cell: 352.7

Cell and atoms, written as CIF:
```
data_PmPr2SmDy
_cell_length_a 8.231
_cell_length_b 6.786
_cell_length_c 6.315
_cell_angle_alpha 90.00
_cell_angle_beta 90.15
_cell_angle_gamma 90.00
_symmetry_space_group_name_H-M 'P 1 2/c 1'
_symmetry_Int_Tables_number 13
_symmetry_space_group_name_Hall '-P 2yc'
loop_
_atom_site_label
_atom_site_type_symbol
_atom_site_fract_x
_atom_site_fract_y
_atom_site_fract_z
_atom_site_occupancy
Pm1 Pm 0.000 0.080 0.250 1
Pr1 Pr 0.304 0.197 0.749 1
Sm1 Sm 0.000 0.500 0.000 1
Dy1 Dy 0.500 0.339 0.250 1
```

Density functional theory data (PBE) for crystalline Pm2Pr2SmDy2 at its relaxed geometry.

Total DFT energy (no corrections) in eV per cell: -96.15
E_form in meV per atom: 133
Mass density in g/cm³: 7.29
V in Å³ per cell: 715.2

Cell and atoms, written as CIF:
```
data_Pm2Pr2SmDy2
_cell_length_a 5.7986
_cell_length_b 5.7986
_cell_length_c 24.5623
_cell_angle_alpha 90.00
_cell_angle_beta 90.00
_cell_angle_gamma 120.00
_symmetry_space_group_name_H-M 'R -3 m'
_symmetry_Int_Tables_number 166
_symmetry_space_group_name_Hall '-R 3 2"'
loop_
_atom_site_label
_atom_site_type_symbol
_atom_site_fract_x
_atom_site_fract_y
_atom_site_fract_z
_atom_site_occupancy
Pm1 Pm 0.0000 0.0000 0.2227 1
Pr1 Pr 0.0000 0.0000 0.3619 1
Sm1 Sm 0.0000 0.0000 0.5000 1
Dy1 Dy 0.0000 0.0000 0.0767 1
```

Density functional theory data (PBE) for crystalline PmPr2Sm3Dy6 at its relaxed geometry.

Total DFT energy (no corrections) in eV per cell: -111.84
E_form in meV per atom: 13
Mass density in g/cm³: 7.79
V in Å³ per cell: 790.1

Cell and atoms, written as CIF:
```
data_PmPr2Sm3Dy6
_cell_length_a 6.251
_cell_length_b 10.825
_cell_length_c 11.860
_cell_angle_alpha 90.00
_cell_angle_beta 100.09
_cell_angle_gamma 90.00
_symmetry_space_group_name_H-M 'C 1 2/m 1'
_symmetry_Int_Tables_number 12
_symmetry_space_group_name_Hall '-C 2y'
loop_
_atom_site_label
_atom_site_type_symbol
_atom_site_fract_x
_atom_site_fract_y
_atom_site_fract_z
_atom_site_occupancy
Pm1 Pm 0.000 0.000 0.000 1
Pr1 Pr 0.000 0.333 0.000 1
Sm1 Sm 0.000 0.167 0.500 1
Sm2 Sm 0.000 0.500 0.500 1
Dy1 Dy 0.249 0.000 0.748 1
Dy2 Dy 0.249 0.333 0.748 1
```

Density functional theory data (PBE) for crystalline Pm2PrSm6Dy at its relaxed geometry.

Total DFT energy (no corrections) in eV per cell: -184.21
E_form in meV per atom: 115
Mass density in g/cm³: 7.25
V in Å³ per cell: 1370.8

Cell and atoms, written as CIF:
```
data_Pm2PrSm6Dy
_cell_length_a 9.215
_cell_length_b 15.315
_cell_length_c 9.810
_cell_angle_alpha 90.00
_cell_angle_beta 98.05
_cell_angle_gamma 90.00
_symmetry_space_group_name_H-M 'C 1 2/c 1'
_symmetry_Int_Tables_number 15
_symmetry_space_group_name_Hall '-C 2yc'
loop_
_atom_site_label
_atom_site_type_symbol
_atom_site_fract_x
_atom_site_fract_y
_atom_site_fract_z
_atom_site_occupancy
Pm1 Pm 0.248 0.051 0.044 1
Pr1 Pr 0.000 0.021 0.750 1
Sm1 Sm 0.066 0.187 0.444 1
Sm2 Sm 0.100 0.394 0.620 1
Sm3 Sm 0.207 0.224 0.814 1
Dy1 Dy 0.000 0.408 0.250 1
```

Density functional theory data (PBE) for crystalline Pm4PrSm2Dy at its relaxed geometry.

Total DFT energy (no corrections) in eV per cell: -138.98
E_form in meV per atom: 385
Mass density in g/cm³: 7.09
V in Å³ per cell: 1109.2

Cell and atoms, written as CIF:
```
data_Pm4PrSm2Dy
_cell_length_a 13.803
_cell_length_b 13.384
_cell_length_c 6.931
_cell_angle_alpha 90.00
_cell_angle_beta 119.96
_cell_angle_gamma 90.00
_symmetry_space_group_name_H-M 'C 1 2/c 1'
_symmetry_Int_Tables_number 15
_symmetry_space_group_name_Hall '-C 2yc'
loop_
_atom_site_label
_atom_site_type_symbol
_atom_site_fract_x
_atom_site_fract_y
_atom_site_fract_z
_atom_site_occupancy
Pm1 Pm 0.001 0.247 0.002 1
Pm2 Pm 0.248 0.001 0.460 1
Pr1 Pr 0.250 0.250 0.000 1
Sm1 Sm 0.000 0.500 0.000 1
Sm2 Sm 0.250 0.250 0.500 1
Dy1 Dy 0.000 0.000 0.000 1
```

Density functional theory data (PBE) for crystalline PmPrDySn at its relaxed geometry.

Total DFT energy (no corrections) in eV per cell: -76.72
E_form in meV per atom: -261
Mass density in g/cm³: 7.86
V in Å³ per cell: 479.5

Cell and atoms, written as CIF:
```
data_PmPrDySn
_cell_length_a 7.827
_cell_length_b 7.827
_cell_length_c 7.827
_cell_angle_alpha 90.00
_cell_angle_beta 90.00
_cell_angle_gamma 90.00
_symmetry_space_group_name_H-M 'F -4 3 m'
_symmetry_Int_Tables_number 216
_symmetry_space_group_name_Hall 'F -4 2 3'
loop_
_atom_site_label
_atom_site_type_symbol
_atom_site_fract_x
_atom_site_fract_y
_atom_site_fract_z
_atom_site_occupancy
Pm1 Pm 0.000 0.000 0.000 1
Pr1 Pr 0.000 0.000 0.500 1
Dy1 Dy 0.250 0.250 0.750 1
Sn1 Sn 0.250 0.250 0.250 1
```

Density functional theory data (PBE) for crystalline SrPmPrDy at its relaxed geometry.

Total DFT energy (no corrections) in eV per cell: -59.83
E_form in meV per atom: 214
Mass density in g/cm³: 5.93
V in Å³ per cell: 600.6

Cell and atoms, written as CIF:
```
data_SrPmPrDy
_cell_length_a 8.437
_cell_length_b 8.437
_cell_length_c 8.437
_cell_angle_alpha 90.00
_cell_angle_beta 90.00
_cell_angle_gamma 90.00
_symmetry_space_group_name_H-M 'F -4 3 m'
_symmetry_Int_Tables_number 216
_symmetry_space_group_name_Hall 'F -4 2 3'
loop_
_atom_site_label
_atom_site_type_symbol
_atom_site_fract_x
_atom_site_fract_y
_atom_site_fract_z
_atom_site_occupancy
Sr1 Sr 0.000 0.000 0.000 1
Pm1 Pm 0.250 0.250 0.750 1
Pr1 Pr 0.250 0.250 0.250 1
Dy1 Dy 0.000 0.000 0.500 1
```

Density functional theory data (PBE) for crystalline TbPm2PrDy5 at its relaxed geometry.

Total DFT energy (no corrections) in eV per cell: -158.23
E_form in meV per atom: 263
Mass density in g/cm³: 7.84
V in Å³ per cell: 1187.6

Cell and atoms, written as CIF:
```
data_TbPm2PrDy5
_cell_length_a 8.771
_cell_length_b 8.771
_cell_length_c 15.439
_cell_angle_alpha 90.00
_cell_angle_beta 90.00
_cell_angle_gamma 90.00
_symmetry_space_group_name_H-M 'I 4/m c m'
_symmetry_Int_Tables_number 140
_symmetry_space_group_name_Hall '-I 4 2c'
loop_
_atom_site_label
_atom_site_type_symbol
_atom_site_fract_x
_atom_site_fract_y
_atom_site_fract_z
_atom_site_occupancy
Tb1 Tb 0.000 0.500 0.250 1
Pm1 Pm 0.116 0.384 0.000 1
Pr1 Pr 0.000 0.000 0.250 1
Dy1 Dy 0.000 0.000 0.000 1
Dy2 Dy 0.209 0.291 0.364 1
```

Density functional theory data (PBE) for crystalline TbPmPr2Dy at its relaxed geometry.

Total DFT energy (no corrections) in eV per cell: -44.61
E_form in meV per atom: 247
Mass density in g/cm³: 7.13
V in Å³ per cell: 348.4

Cell and atoms, written as CIF:
```
data_TbPmPr2Dy
_cell_length_a 6.382
_cell_length_b 8.137
_cell_length_c 6.709
_cell_angle_alpha 90.00
_cell_angle_beta 90.00
_cell_angle_gamma 90.00
_symmetry_space_group_name_H-M 'P m m a'
_symmetry_Int_Tables_number 51
_symmetry_space_group_name_Hall '-P 2a 2a'
loop_
_atom_site_label
_atom_site_type_symbol
_atom_site_fract_x
_atom_site_fract_y
_atom_site_fract_z
_atom_site_occupancy
Tb1 Tb 0.000 0.000 0.000 1
Pm1 Pm 0.250 0.000 0.418 1
Pr1 Pr 0.250 0.302 0.704 1
Dy1 Dy 0.250 0.500 0.172 1
```

Density functional theory data (PBE) for crystalline Tb6PmPrDy2 at its relaxed geometry.

Total DFT energy (no corrections) in eV per cell: -181.16
E_form in meV per atom: 123
Mass density in g/cm³: 7.87
V in Å³ per cell: 1320.6

Cell and atoms, written as CIF:
```
data_Tb6PmPrDy2
_cell_length_a 9.138
_cell_length_b 15.096
_cell_length_c 9.662
_cell_angle_alpha 90.00
_cell_angle_beta 97.75
_cell_angle_gamma 90.00
_symmetry_space_group_name_H-M 'C 1 2/c 1'
_symmetry_Int_Tables_number 15
_symmetry_space_group_name_Hall '-C 2yc'
loop_
_atom_site_label
_atom_site_type_symbol
_atom_site_fract_x
_atom_site_fract_y
_atom_site_fract_z
_atom_site_occupancy
Tb1 Tb 0.066 0.184 0.443 1
Tb2 Tb 0.099 0.393 0.620 1
Tb3 Tb 0.203 0.227 0.819 1
Pm1 Pm 0.000 0.026 0.750 1
Pr1 Pr 0.000 0.406 0.250 1
Dy1 Dy 0.246 0.051 0.045 1
```

What is the E_form in the ninth record? 247 meV per atom